Sm8InPd2: optimized geometry, PBE.

## Properties
- offset from the most stable computed form (meV/atom) = 0.0
- symmetry = C2/m (12)
- total DFT energy (no corrections) (eV per atom) = -4.992

Geometry as POSCAR:
```
Sm8InPd2
1.0
8.737 -2.526 0.000
8.737 2.526 0.000
-3.307 0.000 7.218
Sm In Pd
8 1 2
Direct
0.049 0.049 0.261
0.185 0.185 0.786
0.317 0.317 0.525
0.405 0.405 0.033
0.595 0.595 0.967
0.683 0.683 0.475
0.815 0.815 0.214
0.951 0.951 0.739
0.500 0.500 0.500
0.191 0.191 0.150
0.809 0.809 0.850
```


PrNd8Th4: optimized geometry, PBE.

## Properties
- symmetry = R-3m (166)
- total DFT energy (no corrections) (eV per atom) = -5.031

Geometry as POSCAR:
```
PrNd8Th4
1.0
5.742 3.315 4.383
-5.742 3.315 4.383
0.000 -6.630 4.383
Pr Nd Th
1 8 4
Direct
0.000 0.000 0.000
0.240 0.728 0.728
0.264 0.264 0.264
0.272 0.272 0.760
0.272 0.760 0.272
0.728 0.240 0.728
0.728 0.728 0.240
0.736 0.736 0.736
0.760 0.272 0.272
0.000 0.000 0.500
0.000 0.500 0.000
0.500 0.000 0.000
0.500 0.500 0.500
```


Mg2TlCo2: optimized geometry, PBE.

## Properties
- offset from the most stable computed form (meV/atom) = 319.2
- symmetry = I4/mmm (139)
- total DFT energy (no corrections) (eV per atom) = -3.478

Geometry as POSCAR:
```
Mg2TlCo2
1.0
-1.989 1.989 5.767
1.989 -1.989 5.767
1.989 1.989 -5.767
Mg Tl Co
2 1 2
Direct
0.250 0.750 0.500
0.750 0.250 0.500
0.000 0.000 0.000
0.406 0.406 0.000
0.594 0.594 0.000
```


CdRuClO4: optimized geometry, PBE.

## Properties
- symmetry = C2/m (12)
- formation energy (no corrections) (eV/f.u.) = -5.4
- total DFT energy (no corrections) (eV per atom) = -5.329

Geometry as POSCAR:
```
CdRuClO4
1.0
5.113 -3.749 0.000
5.113 3.749 0.000
-3.953 0.000 7.604
Cd Ru Cl O
2 2 2 8
Direct
0.185 0.185 0.181
0.815 0.815 0.819
0.390 0.390 0.704
0.610 0.610 0.296
0.077 0.077 0.850
0.923 0.923 0.150
0.127 0.505 0.753
0.341 0.341 0.478
0.417 0.417 0.177
0.495 0.873 0.247
0.505 0.127 0.753
0.583 0.583 0.823
0.659 0.659 0.522
0.873 0.495 0.247
```


LaPr4Dy4: optimized geometry, PBE.

## Properties
- offset from the most stable computed form (meV/atom) = 0.0
- symmetry = I4/mmm (139)
- total DFT energy (no corrections) (eV per atom) = -4.695

Geometry as POSCAR:
```
LaPr4Dy4
1.0
-5.473 5.473 2.577
5.473 -5.473 2.577
5.473 5.473 -2.577
La Pr Dy
1 4 4
Direct
0.000 0.000 0.000
0.332 0.332 0.663
0.332 0.668 0.000
0.668 0.332 0.000
0.668 0.668 0.337
0.000 0.337 0.337
0.000 0.663 0.663
0.337 0.000 0.337
0.663 0.000 0.663
```


VHgGe2: optimized geometry, PBE.

## Properties
- offset from the most stable computed form (meV/atom) = 0.0
- symmetry = R-3m (166)
- total DFT energy (no corrections) (eV per atom) = -4.582

Geometry as POSCAR:
```
VHgGe2
1.0
1.540 0.889 9.009
-1.540 0.889 9.009
0.000 -1.778 9.009
V Hg Ge
1 1 2
Direct
0.000 0.000 0.000
0.500 0.500 0.500
0.402 0.402 0.402
0.598 0.598 0.598
```


ZnSeCl: optimized geometry, PBE.

## Properties
- symmetry = Fmm2 (42)
- formation energy (no corrections) (eV/f.u.) = -1.1
- total DFT energy (no corrections) (eV per atom) = -2.555

Geometry as POSCAR:
```
ZnSeCl
1.0
0.000 3.061 7.514
1.697 0.000 7.514
1.697 3.061 0.000
Zn Se Cl
1 1 1
Direct
0.000 0.000 0.000
0.625 0.625 0.375
0.392 0.392 0.608
```


Tb4Tl2GaHg: optimized geometry, PBE.

## Properties
- symmetry = R-3m (166)
- total DFT energy (no corrections) (eV per atom) = -3.749

Geometry as POSCAR:
```
Tb4Tl2GaHg
1.0
2.650 1.530 8.600
-2.650 1.530 8.600
0.000 -3.059 8.600
Tb Tl Ga Hg
4 2 1 1
Direct
0.121 0.121 0.121
0.372 0.372 0.372
0.628 0.628 0.628
0.879 0.879 0.879
0.246 0.246 0.246
0.754 0.754 0.754
0.000 0.000 0.000
0.500 0.500 0.500
```


What is the total DFT energy (no corrections) in the first record? -4.992 eV per atom